Here is a geometry-optimized Li2NiAg structure from Alexandria. Energies are from PBEsol.

Structure (CIF):
```
data_Li2NiAg
_space_group_name_H-M_alt 'P 1 2/m 1'
_space_group_IT_number 10
_cell_length_a 2.650
_cell_length_b 4.207
_cell_length_c 4.785
_cell_angle_alpha 90.00
_cell_angle_beta 96.50
_cell_angle_gamma 90.00
loop_
_space_group_symop_operation_xyz
'x,y,z'
'-x,-y,-z'
'-x,y,-z'
'x,-y,z'
loop_
_atom_site_label
_atom_site_type_symbol
_atom_site_fract_x
_atom_site_fract_y
_atom_site_fract_z
_atom_site_occupancy
Li1 Li 0.225 0.000 0.265 1
Ni1 Ni 0.000 0.500 0.500 1
Ag1 Ag 0.500 0.500 0.000 1
```

Results
Formation enthalpy at 0 K ... 1.6 kJ per mole of atoms
E_tot ... -3.33 eV/atom